A geometry-optimized CdFe2F6 structure, computed with PBE with a Hubbard U.

Cell lengths 4.960, 5.366, 5.366 Å; angles 120.00, 90.00, 90.00 degrees
Each line ends with the local moment (μB).
Fractional positions:
Cd  0.000  0.000  0.000  0.00
Fe  0.500  0.667  0.333  3.84
Fe  0.500  0.333  0.667  3.84
F  0.728  0.657  0.657  0.04
F  0.272  0.657  0.000  0.04
F  0.272  0.000  0.657  0.04
F  0.728  0.343  0.000  0.04
F  0.272  0.343  0.343  0.04
F  0.728  0.000  0.343  0.04

Properties
Calculated volume, Å³ per cell: 123.7
Calculated total energy, eV/atom: -4.73